Computed, not measured: PmSmGd after structural relaxation at the PBE level of DFT.

energy relative to the elements	0.1043	eV/atom
space-group type	I4mm
total magnetic moment	8.1	Bohr magnetons per cell
electronic total energy	-7.746	eV/atom

abc: 6.407 6.407 6.407
angles: 141.43 141.43 55.69
Fractional coordinates of all 3 atoms:
Pm 0.000 0.000 0.000
Sm 0.326 0.326 0.000
Gd 0.664 0.664 0.000